Entry 1:
! Al13Cu3Se24 meta-GGA SCAN single point on PBEsol structure; values from VASP
&SYSTEM
  ibrav = 0, nat = 40, ntyp = 3
/
ATOMIC_SPECIES
Al 26.98 Al.upf
Cu 63.55 Cu.upf
Se 78.96 Se.upf
ATOMIC_POSITIONS angstrom
Al 0.0000 0.0000 0.0000
Al 3.2309 1.8701 0.0243
Al 5.1168 1.8427 11.8010
Al 2.0308 0.0000 14.0436
Al 4.1990 0.0000 5.7591
Al 7.4937 1.9038 5.7784
Al 3.2309 -1.8701 0.0243
Al 6.4078 0.0000 1.9133
Al 6.3903 0.0000 9.0049
Al 5.1168 -1.8427 11.8010
Al 10.2883 0.0000 14.8581
Al 10.6780 0.0000 8.1158
Al 7.4937 -1.9038 5.7784
Cu 1.9406 0.0000 9.6173
Cu 6.0900 0.0000 15.5445
Cu 10.6379 0.0000 3.7695
Se 3.1578 1.7549 4.3574
Se 0.1659 0.0000 4.3695
Se 4.9878 1.9598 16.3499
Se 1.8770 0.0000 16.4544
Se 2.1404 0.0000 7.2367
Se 5.4136 1.7084 7.2907
Se 7.5424 2.0313 1.4947
Se 4.0906 0.0000 1.4966
Se 7.2554 1.8003 10.4723
Se 4.2209 0.0000 10.3137
Se 3.1578 -1.7549 4.3574
Se 6.0406 0.0000 13.2290
Se 6.4032 0.0000 4.4522
Se 9.3119 1.6888 13.2007
Se 5.4136 -1.7084 7.2907
Se 8.3640 0.0000 7.3189
Se 8.2939 0.0000 16.4031
Se 4.9878 -1.9598 16.3499
Se 7.2554 -1.8003 10.4723
Se 10.3807 0.0000 10.4588
Se 10.6291 0.0000 1.3896
Se 7.5424 -2.0313 1.4947
Se 9.3119 -1.6888 13.2007
Se 12.3767 0.0000 13.3156
CELL_PARAMETERS angstrom
6.3605 -3.7156 0.0000
6.3605 3.7156 0.0000
-0.2885 0.0000 17.8294
! Volume in Å³ per cell: 842.7
! Total DFT energy (no corrections) in eV per cell: -657.11
! Uncorrected formation energy in eV/f.u.: -28.86

---

Entry 2:
! ZrZn2 meta-GGA SCAN single point on PBEsol structure; values from VASP
&SYSTEM
  ibrav = 0, nat = 6, ntyp = 2
/
ATOMIC_SPECIES
Zr 91.22 Zr.upf
Zn 65.41 Zn.upf
ATOMIC_POSITIONS angstrom
Zr 0.9100 0.9100 0.9100
Zr 6.3699 6.3699 6.3699
Zn 3.6400 1.8200 1.8200
Zn 1.8200 3.6400 1.8200
Zn 1.8200 1.8200 3.6400
Zn 3.6400 3.6400 3.6400
CELL_PARAMETERS angstrom
0.0000 3.6400 3.6400
3.6400 0.0000 3.6400
3.6400 3.6400 0.0000
! E_form in kcal/mol of atoms: -9.66
! Volume in Å³ per cell: 96.5
! Total DFT energy (no corrections) in eV per cell: -117.97

---

Entry 3:
! MnNb2AgOs meta-GGA SCAN single point on PBEsol structure; values from VASP
&SYSTEM
  ibrav = 0, nat = 5, ntyp = 4
/
ATOMIC_SPECIES
Mn 54.94 Mn.upf
Nb 92.91 Nb.upf
Ag 107.87 Ag.upf
Os 190.23 Os.upf
ATOMIC_POSITIONS angstrom
Mn 0.0000 0.0000 0.0000
Nb 0.0000 2.2500 0.0000
Nb 2.2500 0.0000 0.0000
Ag 2.2500 2.2500 2.2116
Os 0.0000 0.0000 2.2116
CELL_PARAMETERS angstrom
4.5001 0.0000 0.0000
0.0000 4.5001 0.0000
0.0000 0.0000 4.4231
! E_form in kcal/mol of atoms: 21.28
! Volume in Å³ per cell: 89.6
! Total DFT energy (no corrections) in eV per cell: -183.15

---

Entry 4:
! Sr2TlRe meta-GGA SCAN single point on PBEsol structure; values from VASP
&SYSTEM
  ibrav = 0, nat = 4, ntyp = 3
/
ATOMIC_SPECIES
Sr 87.62 Sr.upf
Tl 204.38 Tl.upf
Re 186.21 Re.upf
ATOMIC_POSITIONS angstrom
Sr 0.0000 0.0000 2.0717
Sr 0.0000 0.0000 7.3735
Tl 1.5300 1.8094 4.7226
Re 1.5300 1.8094 0.0000
CELL_PARAMETERS angstrom
3.0599 0.0000 0.0000
0.0000 3.6189 0.0000
0.0000 0.0000 9.4452
! E_form in kcal/mol of atoms: 14.99
! Volume in Å³ per cell: 104.6
! Total DFT energy (no corrections) in eV per cell: -185.41
! Relative energy among the computed polymorphs in eV/f.u.: 0.000